Material: BeIn2Hg
Method: DFT, meta-GGA SCAN
State: single point on PBEsol structure

Output
Symmetry: No. 8
Crystal system: monoclinic
Energy relative to the elements: 0.223 eV/atom
Magnetization: 0.0 μB per formula unit
E: -34.600 eV per atom

```
BeIn2Hg
1.0
-0.879 2.569 -1.684
1.310 -3.426 -2.880
-6.106 -0.933 1.763
In Be Hg
2 1 1
Cartesian
-3.355 -1.343 -0.298 In
-6.019 -1.025 1.577 In
-3.066 -2.597 -2.362 Be
-1.524 -0.366 -2.795 Hg
```